1.
# Zr4Tc2Ru

Zr4Tc2Ru after structural relaxation (GGA-PBE, Alexandria via LeMat-Bulk).

Cell lengths 5.651, 5.651, 5.651 Å; angles 109.74, 109.74, 108.93 degrees
Element x y z (fractional)
Zr  0.000  0.000  0.500
Zr  0.000  0.500  0.000
Zr  0.500  0.000  0.000
Zr  0.500  0.500  0.500
Tc  0.000  0.500  0.500
Tc  0.500  0.000  0.500
Ru  0.000  0.000  0.000

energy of formation	-256	meV per atom
space group	I4/mmm, No. 139
uncorrected energy	-65.994	eV for the cell shown

2.
# SrBe2AsPb

SrBe2AsPb after structural relaxation (GGA-PBE, Alexandria via LeMat-Bulk).

Cell lengths 4.565, 4.565, 5.813 Å; angles 90.00, 90.00, 90.00 degrees
Element x y z (fractional)
Sr  0.000  0.000  0.000
Be  0.000  0.500  0.500
Be  0.500  0.000  0.500
As  0.000  0.000  0.500
Pb  0.500  0.500  0.000

energy of formation	375	meV per atom
space group	P4/mmm, No. 123
uncorrected energy	-15.619	eV for the cell shown

3.
# PmPr7Mg4

PmPr7Mg4 after structural relaxation (GGA-PBE, Alexandria via LeMat-Bulk).

Cell lengths 8.337, 8.337, 9.940 Å; angles 119.08, 119.08, 41.69 degrees
Element x y z (fractional)
Pm  0.000  0.000  0.000
Pr  0.082  0.082  0.426
Pr  0.198  0.198  0.878
Pr  0.254  0.254  0.289
Pr  0.500  0.500  0.000
Pr  0.746  0.746  0.711
Pr  0.802  0.802  0.122
Pr  0.918  0.918  0.574
Mg  0.325  0.325  0.654
Mg  0.462  0.462  0.306
Mg  0.538  0.538  0.694
Mg  0.675  0.675  0.346

energy of formation	111	meV per atom
space group	C2/m, No. 12
uncorrected energy	-43.249	eV for the cell shown

4.
# Tb2PrAlN

Tb2PrAlN after structural relaxation (GGA-PBE, Alexandria via LeMat-Bulk).

Cell lengths 4.819, 4.819, 5.033 Å; angles 90.00, 90.00, 90.00 degrees
Element x y z (fractional)
Tb  0.000  0.500  0.000
Tb  0.500  0.000  0.000
Pr  0.000  0.000  0.500
Al  0.500  0.500  0.500
N  0.000  0.000  0.000

space group	P4/mmm, No. 123
formation energy (no corrections)	-0.83	eV/atom
uncorrected energy	-30.234	eV for the cell shown

5.
# MgCr2Br

MgCr2Br after structural relaxation (GGA-PBE, Alexandria via LeMat-Bulk).

Cell lengths 6.337, 6.337, 6.337 Å; angles 151.05, 135.28, 54.15 degrees
Element x y z (fractional)
Mg  0.000  0.000  0.000
Cr  0.469  0.469  0.000
Cr  0.640  0.140  0.500
Br  0.272  0.772  0.500

energy relative to the lowest polymorph listed for this composition	211	meV/atom
space group	Imm2, No. 44
formation energy (no corrections)	0.39	eV/atom
uncorrected energy	-20.940	eV for the cell shown

6.
# Rb4U3GaTe8

Rb4U3GaTe8 after structural relaxation (GGA-PBE, Alexandria via LeMat-Bulk).

Cell lengths 9.956, 9.956, 9.956 Å; angles 55.42, 55.42, 55.42 degrees
Element x y z (fractional)
Rb  0.000  0.000  0.000
Rb  0.000  0.500  0.500
Rb  0.500  0.000  0.500
Rb  0.500  0.500  0.000
U  0.000  0.000  0.500
U  0.000  0.500  0.000
U  0.500  0.000  0.000
Ga  0.500  0.500  0.500
Te  0.221  0.736  0.736
Te  0.234  0.234  0.234
Te  0.264  0.264  0.779
Te  0.264  0.779  0.264
Te  0.736  0.221  0.736
Te  0.736  0.736  0.221
Te  0.766  0.766  0.766
Te  0.779  0.264  0.264

space group	R-3m, No. 166
formation energy (no corrections)	-0.81	eV/atom
uncorrected energy	-78.787	eV for the cell shown

7.
# Mg2InCo

Mg2InCo after structural relaxation (GGA-PBE, Alexandria via LeMat-Bulk).

Cell lengths 10.192, 10.192, 10.192 Å; angles 157.13, 157.13, 32.56 degrees
Element x y z (fractional)
Mg  0.106  0.625  0.981
Mg  0.375  0.356  0.481
Mg  0.644  0.125  0.019
Mg  0.875  0.894  0.519
In  0.250  0.750  0.500
In  0.500  0.500  0.000
Co  0.000  0.000  0.000
Co  0.750  0.250  0.500

energy of formation	398	meV per atom
space group	I-42d, No. 122
uncorrected energy	-22.886	eV for the cell shown

8.
# Zr6NbAl5

Zr6NbAl5 after structural relaxation (GGA-PBE, Alexandria via LeMat-Bulk).

Cell lengths 5.050, 6.294, 7.447 Å; angles 90.00, 96.70, 90.00 degrees
Element x y z (fractional)
Zr  0.000  0.244  0.000
Zr  0.000  0.756  0.000
Zr  0.346  0.249  0.668
Zr  0.346  0.751  0.668
Zr  0.654  0.249  0.332
Zr  0.654  0.751  0.332
Nb  0.500  0.500  0.000
Al  0.156  0.000  0.341
Al  0.159  0.500  0.325
Al  0.500  0.000  0.000
Al  0.841  0.500  0.675
Al  0.844  0.000  0.659

energy of formation	-375	meV per atom
space group	P2/m, No. 10
uncorrected energy	-84.567	eV for the cell shown

9.
# Ba2MgGa12Pd3

Ba2MgGa12Pd3 after structural relaxation (GGA-PBE, Alexandria via LeMat-Bulk).

Cell lengths 8.134, 8.134, 8.134 Å; angles 71.62, 71.62, 71.62 degrees
Element x y z (fractional)
Ba  0.110  0.110  0.110
Ba  0.890  0.890  0.890
Mg  0.500  0.500  0.500
Ga  0.152  0.632  0.632
Ga  0.247  0.247  0.616
Ga  0.247  0.616  0.247
Ga  0.368  0.368  0.848
Ga  0.368  0.848  0.368
Ga  0.384  0.753  0.753
Ga  0.616  0.247  0.247
Ga  0.632  0.152  0.632
Ga  0.632  0.632  0.152
Ga  0.753  0.384  0.753
Ga  0.753  0.753  0.384
Ga  0.848  0.368  0.368
Pd  0.000  0.500  0.500
Pd  0.500  0.000  0.500
Pd  0.500  0.500  0.000

energy of formation	-134	meV per atom
space group	R-3m, No. 166
uncorrected energy	-59.757	eV for the cell shown

10.
# Zr2PaNiN4

Zr2PaNiN4 after structural relaxation (GGA-PBE, Alexandria via LeMat-Bulk).

Cell lengths 5.652, 5.652, 11.106 Å; angles 90.00, 90.00, 146.46 degrees
Element x y z (fractional)
Zr  0.130  0.870  0.556
Zr  0.130  0.870  0.944
Zr  0.870  0.130  0.056
Zr  0.870  0.130  0.444
Pa  0.387  0.613  0.750
Pa  0.613  0.387  0.250
Ni  0.344  0.656  0.250
Ni  0.656  0.344  0.750
N  0.040  0.960  0.750
N  0.223  0.777  0.119
N  0.223  0.777  0.381
N  0.500  0.500  0.000
N  0.500  0.500  0.500
N  0.777  0.223  0.619
N  0.777  0.223  0.881
N  0.960  0.040  0.250

space group	Cmcm, No. 63
formation energy (no corrections)	-1.38	eV/atom
uncorrected energy	-153.361	eV for the cell shown

11.
# SrCdMo

SrCdMo after structural relaxation (GGA-PBE, Alexandria via LeMat-Bulk).

Cell lengths 6.370, 6.370, 7.564 Å; angles 103.81, 103.81, 32.16 degrees
Element x y z (fractional)
Sr  0.014  0.014  0.250
Sr  0.986  0.986  0.750
Cd  0.309  0.309  0.381
Cd  0.691  0.691  0.619
Mo  0.296  0.296  0.943
Mo  0.704  0.704  0.057

energy relative to the lowest polymorph listed for this composition	0	meV/atom
energy of formation	297	meV per atom
space group	C2/m, No. 12
uncorrected energy	-25.071	eV for the cell shown

12.
# RbBaBe2F8

RbBaBe2F8 after structural relaxation (GGA-PBE, Alexandria via LeMat-Bulk).

Cell lengths 5.443, 5.443, 8.739 Å; angles 90.00, 90.00, 120.00 degrees
Element x y z (fractional)
Rb  0.000  0.000  0.000
Ba  0.000  0.000  0.500
Be  0.333  0.667  0.762
Be  0.667  0.333  0.238
F  0.080  0.383  0.703
F  0.303  0.920  0.703
F  0.333  0.667  0.940
F  0.383  0.303  0.297
F  0.617  0.697  0.703
F  0.667  0.333  0.060
F  0.697  0.080  0.297
F  0.920  0.617  0.297

space group	P-3, No. 147
formation energy (no corrections)	-3.05	eV/atom
uncorrected energy	-61.889	eV for the cell shown